(1)
Here is crystalline TlWCl2 at its relaxed geometry from Alexandria. Energies are from PBE-GGA.

```
data_TlWCl2
_chemical_formula_sum 'Tl4 W4 Cl8'
_symmetry_space_group_name_H-M 'F m -3 m'
_symmetry_Int_Tables_number 225
_symmetry_space_group_name_Hall '-F 4 2 3'
_cell_length_a 7.3626
_cell_length_b 7.3626
_cell_length_c 7.3626
_cell_angle_alpha 90.00
_cell_angle_beta 90.00
_cell_angle_gamma 90.00
loop_
_atom_site_label
_atom_site_type_symbol
_atom_site_fract_x
_atom_site_fract_y
_atom_site_fract_z
Tl1 Tl 0.0000 0.0000 0.0000
W1 W 0.0000 0.0000 0.5000
Cl1 Cl 0.2500 0.2500 0.2500
```

Results
The calculation puts the total DFT energy (no corrections) at -3.868 eV/atom. Its density of states at the Fermi level is 1.12 states/eV/atom.



(2)
Here is crystalline NdPuP at its relaxed geometry from Alexandria. Energies are from PBE-GGA.

```
data_NdPuP
_chemical_formula_sum 'Nd4 Pu4 P4'
_symmetry_space_group_name_H-M 'P 41 21 2'
_symmetry_Int_Tables_number 92
_symmetry_space_group_name_Hall 'P 4abw 2nw'
_cell_length_a 6.7641
_cell_length_b 6.7641
_cell_length_c 8.0236
_cell_angle_alpha 90.00
_cell_angle_beta 90.00
_cell_angle_gamma 90.00
loop_
_atom_site_label
_atom_site_type_symbol
_atom_site_fract_x
_atom_site_fract_y
_atom_site_fract_z
Nd1 Nd 0.2119 0.2119 0.0000
Pu1 Pu 0.2022 0.2022 0.5000
P1 P 0.0082 0.9918 0.7500
```

Results
The calculation puts the total DFT energy (no corrections) at -8.788 eV/atom. Its density of states at the Fermi level is 3.32 states/eV/atom.



(3)
Here is crystalline ZnCu2Se at its relaxed geometry from Alexandria. Energies are from PBE-GGA.

```
data_ZnCu2Se
_chemical_formula_sum 'Zn4 Cu8 Se4'
_symmetry_space_group_name_H-M 'I -4 2 d'
_symmetry_Int_Tables_number 122
_symmetry_space_group_name_Hall 'I -4 2bw'
_cell_length_a 5.0796
_cell_length_b 5.0796
_cell_length_c 13.0483
_cell_angle_alpha 90.00
_cell_angle_beta 90.00
_cell_angle_gamma 90.00
loop_
_atom_site_label
_atom_site_type_symbol
_atom_site_fract_x
_atom_site_fract_y
_atom_site_fract_z
Zn1 Zn 0.0000 0.0000 0.0000
Cu1 Cu 0.2126 0.2500 0.6250
Se1 Se 0.0000 0.0000 0.5000
```

Results
The calculation puts the total DFT energy (no corrections) at -3.079 eV/atom. Its density of states at the Fermi level is 0.00 states/eV/atom.



(4)
Here is crystalline Tm6In5Au at its relaxed geometry from Alexandria. Energies are from PBE-GGA.

```
data_Tm6In5Au
_chemical_formula_sum 'Tm12 In10 Au2'
_symmetry_space_group_name_H-M 'C m m m'
_symmetry_Int_Tables_number 65
_symmetry_space_group_name_Hall '-C 2 2'
_cell_length_a 5.2301
_cell_length_b 15.7240
_cell_length_c 7.3669
_cell_angle_alpha 90.00
_cell_angle_beta 90.00
_cell_angle_gamma 90.00
loop_
_atom_site_label
_atom_site_type_symbol
_atom_site_fract_x
_atom_site_fract_y
_atom_site_fract_z
Tm1 Tm 0.0000 0.0000 0.2407
Tm2 Tm 0.0000 0.3385 0.2457
In1 In 0.0000 0.1687 0.0000
In2 In 0.0000 0.1690 0.5000
In3 In 0.0000 0.5000 0.5000
Au1 Au 0.0000 0.5000 0.0000
```

Results
The calculation puts the total DFT energy (no corrections) at -4.132 eV/atom. Its density of states at the Fermi level is 0.80 states/eV/atom.